--- w ---
A plane-wave DFT calculation with GGA-PBE was carried out for crystalline MnZn2Sn2 at its relaxed geometry.

```
5
Lattice="4.400 0.000 0.000 0.000 4.400 0.000 2.200 2.200 5.895" Properties=species:S:1:pos:R:3 pbc="T T T"
Zn 2.200 2.200 1.168
Zn 4.400 4.400 4.727
Mn 0.000 0.000 0.000
Sn 4.400 2.200 2.948
Sn 2.200 4.400 2.948
```

## Properties
* SG: I4/mmm (139)
* total magnetization: 4.8 μB/cell
* density of states at the Fermi level: 2.41 states/eV per cell



--- x ---
A plane-wave DFT calculation with GGA-PBE was carried out for crystalline MnZn2Sn2 at its relaxed geometry.

```
10
Lattice="6.976 0.000 0.000 0.000 6.976 0.000 0.000 0.000 4.142" Properties=species:S:1:pos:R:3 pbc="T T T"
Zn 2.574 6.062 0.000
Zn 6.062 4.403 0.000
Zn 4.403 0.914 0.000
Zn 0.914 2.574 0.000
Mn 0.000 0.000 0.000
Mn 3.488 3.488 0.000
Sn 1.233 4.721 2.071
Sn 4.721 5.743 2.071
Sn 5.743 2.255 2.071
Sn 2.255 1.233 2.071
```

## Properties
* SG: P4/mbm (127)
* total magnetization: 7.9 μB/cell
* density of states at the Fermi level: 6.98 states/eV per cell



Most stable: x (next structure +214 meV/atom)



--- w ---
A plane-wave DFT calculation with GGA-PBE was carried out for crystalline Zr2MnSn2 at its relaxed geometry.

```
5
Lattice="-3.346 -2.618 0.114 0.350 -0.262 4.228 -5.661 3.910 2.847" Properties=species:S:1:pos:R:3 pbc="T T T"
Mn 0.000 0.000 0.000
Sn -2.318 -0.386 2.304
Sn -6.339 1.416 4.885
Zr -5.253 -0.074 2.566
Zr -3.405 1.104 4.623
```

## Properties
* SG: I4/mmm (139)
* total magnetization: 3.4 μB/cell
* density of states at the Fermi level: 4.82 states/eV per cell



--- x ---
A plane-wave DFT calculation with GGA-PBE was carried out for crystalline Zr2MnSn2 at its relaxed geometry.

```
10
Lattice="7.130 0.000 0.000 0.000 7.130 0.000 0.000 0.000 4.243" Properties=species:S:1:pos:R:3 pbc="T T T"
Mn 0.000 0.000 0.000
Mn 3.565 3.565 0.000
Sn 2.553 6.119 0.000
Sn 6.119 4.577 0.000
Sn 4.577 1.012 0.000
Sn 1.012 2.553 0.000
Zr 1.182 4.747 2.122
Zr 4.747 5.948 2.122
Zr 5.948 2.383 2.122
Zr 2.383 1.182 2.122
```

## Properties
* SG: P4/mbm (127)
* total magnetization: 5.3 μB/cell
* density of states at the Fermi level: 6.71 states/eV per cell



Most stable: x (next structure +537 meV/atom)



--- w ---
A plane-wave DFT calculation with GGA-PBE was carried out for crystalline Zr3MnSn at its relaxed geometry.

```
5
Lattice="-0.189 -4.930 0.767 4.888 -0.028 1.023 -1.005 0.790 4.827" Properties=species:S:1:pos:R:3 pbc="T T T"
Mn 0.000 0.000 0.000
Sn 1.847 -2.085 3.308
Zr 2.444 -0.014 0.511
Zr -0.503 0.395 2.414
Zr -0.095 -2.465 0.384
```

## Properties
* SG: Pm-3m (221)
* total magnetization: 0.3 μB/cell
* density of states at the Fermi level: 10.61 states/eV per cell



--- x ---
A plane-wave DFT calculation with GGA-PBE was carried out for crystalline Zr3MnSn at its relaxed geometry.

```
5
Lattice="5.155 0.000 0.000 0.000 5.155 0.000 0.000 0.000 5.155" Properties=species:S:1:pos:R:3 pbc="T T T"
Mn 2.577 2.577 2.577
Sn 0.000 0.000 0.000
Zr 0.000 2.577 0.000
Zr 0.000 0.000 2.577
Zr 2.577 0.000 0.000
```

## Properties
* SG: Pm-3m (221)
* total magnetization: 0.0 μB/cell
* density of states at the Fermi level: 11.16 states/eV per cell



Most stable: w (next structure +1447 meV/atom)



--- w ---
A plane-wave DFT calculation with GGA-PBE was carried out for crystalline SrMn4 at its relaxed geometry.

```
5
Lattice="-3.689 3.689 1.320 3.689 -3.689 1.320 3.689 3.689 -1.320" Properties=species:S:1:pos:R:3 pbc="T T T"
Sr 0.000 0.000 0.000
Mn -1.009 2.699 1.320
Mn 0.990 2.681 0.000
Mn 4.698 0.990 0.000
Mn 2.699 1.009 1.320
```

## Properties
* SG: I4/m (87)
* total magnetization: 0.8 μB/cell
* density of states at the Fermi level: 7.47 states/eV per cell



--- x ---
A plane-wave DFT calculation with GGA-PBE was carried out for crystalline SrMn4 at its relaxed geometry.

```
5
Lattice="-3.297 3.297 3.297 3.297 -3.297 3.297 3.297 3.297 -3.297" Properties=species:S:1:pos:R:3 pbc="T T T"
Sr 0.000 0.000 0.000
Mn -1.648 1.648 1.648
Mn 1.648 1.648 1.648
Mn 1.648 -1.648 1.648
Mn 1.648 1.648 -1.648
```

## Properties
* SG: Im-3m (229)
* total magnetization: 16.9 μB/cell
* density of states at the Fermi level: 5.48 states/eV per cell



--- y ---
A plane-wave DFT calculation with GGA-PBE was carried out for crystalline SrMn4 at its relaxed geometry.

```
5
Lattice="4.964 0.000 0.000 0.000 4.964 0.000 0.000 0.000 4.964" Properties=species:S:1:pos:R:3 pbc="T T T"
Sr 2.482 2.482 2.482
Mn 0.000 0.000 0.000
Mn 2.482 0.000 2.482
Mn 0.000 2.482 2.482
Mn 2.482 2.482 0.000
```

## Properties
* SG: Pm-3m (221)
* total magnetization: 15.5 μB/cell
* density of states at the Fermi level: 5.58 states/eV per cell



Most stable: w (next structure +1213 meV/atom)



--- w ---
A plane-wave DFT calculation with GGA-PBE was carried out for crystalline SrTa2Mn2 at its relaxed geometry.

```
5
Lattice="-2.990 2.787 0.820 -1.512 -2.498 2.975 1.220 2.715 5.821" Properties=species:S:1:pos:R:3 pbc="T T T"
Sr 0.000 0.000 0.000
Mn -2.010 2.823 4.269
Mn -1.271 0.180 5.347
Ta -1.279 0.864 2.996
Ta -2.003 2.139 6.620
```

## Properties
* SG: I4/mmm (139)
* total magnetization: 0.6 μB/cell
* density of states at the Fermi level: 4.72 states/eV per cell



--- x ---
A plane-wave DFT calculation with GGA-PBE was carried out for crystalline SrTa2Mn2 at its relaxed geometry.

```
10
Lattice="-5.160 5.437 -2.516 -4.445 -5.701 -3.203 -1.534 -0.258 2.589" Properties=species:S:1:pos:R:3 pbc="T T T"
Sr 0.000 0.000 0.000
Sr -4.802 -0.132 -2.859
Mn -5.783 -2.948 -3.721
Mn -7.290 1.146 -4.206
Mn -3.822 2.684 -1.997
Mn -2.315 -1.410 -1.512
Ta -4.302 -3.016 -1.088
Ta -7.890 -1.590 -3.072
Ta -6.837 2.493 -2.041
Ta -3.249 1.068 -0.057
```

## Properties
* SG: P4/mbm (127)
* total magnetization: 3.9 μB/cell
* density of states at the Fermi level: 9.75 states/eV per cell



Most stable: x (next structure +134 meV/atom)



--- w ---
A plane-wave DFT calculation with GGA-PBE was carried out for crystalline SrTa2Mn2 at its relaxed geometry.

```
10
Lattice="8.044 0.000 0.000 0.000 8.044 0.000 0.000 0.000 2.883" Properties=species:S:1:pos:R:3 pbc="T T T"
Sr 0.000 0.000 0.000
Sr 4.022 4.022 0.000
Mn 1.133 5.155 1.441
Mn 5.155 6.912 1.441
Mn 6.912 2.890 1.441
Mn 2.890 1.133 1.441
Ta 2.913 6.935 0.000
Ta 6.935 5.131 0.000
Ta 5.131 1.109 0.000
Ta 1.109 2.913 0.000
```

## Properties
* SG: P4/mbm (127)
* total magnetization: 5.8 μB/cell
* density of states at the Fermi level: 11.26 states/eV per cell



--- x ---
A plane-wave DFT calculation with GGA-PBE was carried out for crystalline SrTa2Mn2 at its relaxed geometry.

```
5
Lattice="-3.750 -1.202 -1.487 0.530 -3.799 1.734 -4.032 -0.710 4.786" Properties=species:S:1:pos:R:3 pbc="T T T"
Sr 0.000 0.000 0.000
Mn -2.189 -2.073 1.237
Mn -5.064 -3.638 3.796
Ta -4.697 -2.206 1.711
Ta -2.556 -3.505 3.322
```

## Properties
* SG: I4/mmm (139)
* total magnetization: 0.0 μB/cell
* density of states at the Fermi level: 4.31 states/eV per cell



Most stable: x (next structure +96 meV/atom)



--- w ---
A plane-wave DFT calculation with GGA-PBE was carried out for crystalline SrMnTc at its relaxed geometry.

```
3
Lattice="-2.328 -3.075 -2.575 -1.846 -3.762 1.986 -4.602 -0.373 0.430" Properties=species:S:1:pos:R:3 pbc="T T T"
Mn 0.000 0.000 0.000
Sr -4.388 -3.605 -0.080
Tc -6.583 -5.407 -0.119
```

## Properties
* SG: F-43m (216)
* total magnetization: 2.3 μB/cell
* density of states at the Fermi level: 4.38 states/eV per cell



--- x ---
A plane-wave DFT calculation with GGA-PBE was carried out for crystalline SrMnTc at its relaxed geometry.

```
3
Lattice="4.919 0.000 0.000 2.459 4.260 0.000 2.459 1.420 4.016" Properties=species:S:1:pos:R:3 pbc="T T T"
Mn 4.919 2.840 2.008
Sr 7.378 4.260 3.012
Tc 0.000 0.000 0.000
```

## Properties
* SG: F-43m (216)
* total magnetization: 6.9 μB/cell
* density of states at the Fermi level: 3.38 states/eV per cell



--- y ---
A plane-wave DFT calculation with GGA-PBE was carried out for crystalline SrMnTc at its relaxed geometry.

```
3
Lattice="6.198 0.002 -0.003 5.327 3.170 0.005 0.872 0.232 3.159" Properties=species:S:1:pos:R:3 pbc="T T T"
Mn 1.510 0.408 2.970
Sr 4.423 1.212 2.107
Tc 7.336 2.016 1.244
```

## Properties
* SG: I4mm (107)
* total magnetization: 0.0 μB/cell
* density of states at the Fermi level: 1.16 states/eV per cell



Most stable: y (next structure +595 meV/atom)



--- w ---
A plane-wave DFT calculation with GGA-PBE was carried out for crystalline SrMnTc3 at its relaxed geometry.

```
5
Lattice="4.584 0.000 0.000 0.000 4.584 0.000 0.000 0.000 4.584" Properties=species:S:1:pos:R:3 pbc="T T T"
Sr 2.292 2.292 2.292
Mn 0.000 0.000 0.000
Tc 0.000 2.292 0.000
Tc 0.000 0.000 2.292
Tc 2.292 0.000 0.000
```

## Properties
* SG: Pm-3m (221)
* total magnetization: 1.6 μB/cell
* density of states at the Fermi level: 7.41 states/eV per cell



--- x ---
A plane-wave DFT calculation with GGA-PBE was carried out for crystalline SrMnTc3 at its relaxed geometry.

```
5
Lattice="4.671 0.000 0.000 0.000 4.671 0.000 0.000 0.000 4.671" Properties=species:S:1:pos:R:3 pbc="T T T"
Sr 0.000 0.000 0.000
Mn 2.336 2.336 2.336
Tc 0.000 2.336 0.000
Tc 0.000 0.000 2.336
Tc 2.336 0.000 0.000
```

## Properties
* SG: Pm-3m (221)
* total magnetization: 0.4 μB/cell
* density of states at the Fermi level: 9.71 states/eV per cell



Most stable: w (next structure +2415 meV/atom)



--- w ---
A plane-wave DFT calculation with GGA-PBE was carried out for crystalline Sr2MnTc at its relaxed geometry.

```
4
Lattice="-8.574 5.868 1.455 -8.972 3.623 4.053 -6.987 6.420 4.475" Properties=species:S:1:pos:R:3 pbc="T T T"
Mn -18.400 11.933 7.487
Sr -24.369 15.804 9.917
Sr -12.430 8.061 5.058
Tc -6.133 3.978 2.496
```

## Properties
* SG: R-3m (166)
* total magnetization: 4.8 μB/cell
* density of states at the Fermi level: 5.74 states/eV per cell



--- x ---
A plane-wave DFT calculation with GGA-PBE was carried out for crystalline Sr2MnTc at its relaxed geometry.

```
4
Lattice="5.178 -0.002 0.000 0.037 5.178 0.000 -2.607 -2.588 3.649" Properties=species:S:1:pos:R:3 pbc="T T T"
Mn 2.589 -0.001 1.824
Sr 0.000 0.000 0.000
Sr 0.019 2.589 1.824
Tc 2.607 2.588 0.000
```

## Properties
* SG: I-4m2 (119)
* total magnetization: 4.1 μB/cell
* density of states at the Fermi level: 5.86 states/eV per cell



--- y ---
A plane-wave DFT calculation with GGA-PBE was carried out for crystalline Sr2MnTc at its relaxed geometry.

```
4
Lattice="6.442 0.020 -0.119 5.366 3.564 -0.119 2.323 0.705 4.786" Properties=species:S:1:pos:R:3 pbc="T T T"
Mn 11.216 3.404 3.084
Sr 2.513 0.763 4.686
Sr 3.357 1.019 1.229
Tc 6.433 1.952 2.610
```

## Properties
* SG: Imm2 (44)
* total magnetization: 2.4 μB/cell
* density of states at the Fermi level: 5.16 states/eV per cell



Most stable: y (next structure +397 meV/atom)



--- w ---
A plane-wave DFT calculation with GGA-PBE was carried out for crystalline Sr2MnTc at its relaxed geometry.

```
4
Lattice="3.587 0.000 0.000 0.000 3.587 0.000 0.000 0.000 8.535" Properties=species:S:1:pos:R:3 pbc="T T T"
Mn 1.793 1.793 6.402
Sr 0.000 0.000 0.137
Sr 0.000 0.000 4.131
Tc 1.793 1.793 2.134
```

## Properties
* SG: P4/mmm (123)
* total magnetization: 6.2 μB/cell
* density of states at the Fermi level: 4.65 states/eV per cell



--- x ---
A plane-wave DFT calculation with GGA-PBE was carried out for crystalline Sr2MnTc at its relaxed geometry.

```
4
Lattice="0.000 3.810 3.810 3.810 0.000 3.810 3.810 3.810 0.000" Properties=species:S:1:pos:R:3 pbc="T T T"
Sr 1.905 1.905 1.905
Sr 5.714 5.714 5.714
Mn 0.000 0.000 0.000
Tc 3.810 3.810 3.810
```

## Properties
* SG: Fm-3m (225)
* total magnetization: 6.1 μB/cell
* density of states at the Fermi level: 11.13 states/eV per cell



--- y ---
A plane-wave DFT calculation with GGA-PBE was carried out for crystalline Sr2MnTc at its relaxed geometry.

```
8
Lattice="11.669 0.000 0.000 0.000 11.669 0.000 5.835 5.835 2.119" Properties=species:S:1:pos:R:3 pbc="T T T"
Sr 6.595 2.917 0.530
Sr 5.074 8.752 0.530
Sr 8.752 10.909 1.589
Sr 14.586 12.429 1.589
Mn 5.835 5.835 0.000
Mn 5.835 11.669 1.059
Tc 0.000 0.000 0.000
Tc 11.669 5.835 1.059
```

## Properties
* SG: I-42d (122)
* total magnetization: 0.0 μB/cell
* density of states at the Fermi level: 11.58 states/eV per cell



Most stable: y (next structure +71 meV/atom)



--- w ---
A plane-wave DFT calculation with GGA-PBE was carried out for crystalline Sr2MnTc at its relaxed geometry.

```
4
Lattice="-2.533 -3.186 3.785 -1.242 -4.464 -3.070 5.004 2.367 0.501" Properties=species:S:1:pos:R:3 pbc="T T T"
Mn 0.291 -2.322 2.322
Sr 0.000 0.000 0.000
Sr -1.888 -3.825 0.357
Tc 0.937 -2.961 -1.106
```

## Properties
* SG: I4/mmm (139)
* total magnetization: 5.8 μB/cell
* density of states at the Fermi level: 4.41 states/eV per cell



--- x ---
A plane-wave DFT calculation with GGA-PBE was carried out for crystalline Sr2MnTc at its relaxed geometry.

```
4
Lattice="8.090 0.029 0.107 -3.275 4.456 0.391 1.540 0.855 3.112" Properties=species:S:1:pos:R:3 pbc="T T T"
Mn 2.407 2.243 0.249
Sr 0.000 0.000 0.000
Sr 4.815 0.442 1.609
Tc -0.868 2.656 1.751
```

## Properties
* SG: Cmmm (65)
* total magnetization: 6.0 μB/cell
* density of states at the Fermi level: 5.44 states/eV per cell



--- y ---
A plane-wave DFT calculation with GGA-PBE was carried out for crystalline Sr2MnTc at its relaxed geometry.

```
4
Lattice="3.436 0.000 0.000 0.000 3.438 0.092 0.000 3.202 9.301" Properties=species:S:1:pos:R:3 pbc="T T T"
Mn 1.718 4.998 6.284
Sr 0.000 3.218 8.588
Sr 1.718 1.646 3.044
Tc 0.000 3.300 5.472
```

## Properties
* SG: Pm (6)
* total magnetization: 2.4 μB/cell
* density of states at the Fermi level: 4.95 states/eV per cell



Most stable: y (next structure +451 meV/atom)